No. 1
Ce3PuRh2 | the Alexandria database | PBE | relaxed; density of states at the Fermi level = 12.02 states/eV/f.u.; total DFT energy (no corrections) = -8.25 eV per atom; energy of formation from the pure elements = -43.0 kJ/mol of atoms; excess energy over the best structure of this formula in the dataset = 0.0 kJ/mol of atoms
1.0
-3.931 3.930 -0.209
-2.043 -2.399 -6.690
-1.347 -4.935 6.268
Ce Pu Rh
6 2 4
direct
0.500 0.250 0.000 Ce
0.500 0.750 0.000 Ce
0.811 0.060 0.620 Ce
0.189 0.440 0.380 Ce
0.189 0.940 0.380 Ce
0.811 0.560 0.620 Ce
0.000 0.500 0.000 Pu
0.000 0.000 0.000 Pu
0.351 0.350 0.701 Rh
0.649 0.150 0.299 Rh
0.351 0.850 0.701 Rh
0.649 0.650 0.299 Rh

No. 2
Cu2NiPd5Pt | the Alexandria database | PBE | relaxed; density of states at the Fermi level = 12.07 states/eV/f.u.; total DFT energy (no corrections) = -4.88 eV per atom; energy of formation from the pure elements = 22.2 kJ/mol of atoms
1.0
6.856 0.000 0.000
0.000 6.856 0.000
-3.428 -3.428 5.788
Cu Ni Pd Pt
4 2 10 2
direct
0.112 0.388 0.000 Cu
0.612 0.112 0.000 Cu
0.388 0.888 0.000 Cu
0.888 0.612 0.000 Cu
0.250 0.750 0.500 Ni
0.750 0.250 0.500 Ni
0.933 0.433 0.272 Pd
0.660 0.160 0.728 Pd
0.067 0.567 0.728 Pd
0.160 0.067 0.728 Pd
0.567 0.660 0.728 Pd
0.840 0.933 0.272 Pd
0.433 0.340 0.272 Pd
0.340 0.840 0.272 Pd
0.500 0.500 0.000 Pd
0.000 0.000 0.000 Pd
0.250 0.250 0.500 Pt
0.750 0.750 0.500 Pt

No. 3
Pm5Ho3Er2 | the Alexandria database | PBE | relaxed; density of states at the Fermi level = 17.81 states/eV/f.u.; total DFT energy (no corrections) = -4.48 eV per atom; energy of formation from the pure elements = 17.9 kJ/mol of atoms
1.0
8.740 2.048 -4.257
0.594 8.930 -4.304
-2.231 -2.561 10.691
Pm Ho Er
10 6 4
direct
0.272 0.522 0.044 Pm
0.728 0.478 0.956 Pm
0.022 0.772 0.544 Pm
0.519 0.269 0.539 Pm
0.978 0.228 0.456 Pm
0.481 0.731 0.461 Pm
0.885 0.637 0.760 Pm
0.115 0.363 0.240 Pm
0.376 0.124 0.760 Pm
0.624 0.876 0.240 Pm
0.226 0.976 0.953 Ho
0.774 0.024 0.047 Ho
0.720 0.474 0.250 Ho
0.280 0.526 0.750 Ho
0.030 0.776 0.250 Ho
0.970 0.224 0.750 Ho
0.779 0.034 0.757 Er
0.221 0.966 0.243 Er
0.478 0.723 0.757 Er
0.522 0.277 0.243 Er

No. 4
Pm5Ru4 | the Alexandria database | PBE | relaxed; density of states at the Fermi level = 10.11 states/eV/f.u.; total DFT energy (no corrections) = -6.92 eV per atom; energy of formation from the pure elements = -15.0 kJ/mol of atoms
1.0
4.409 0.000 0.000
2.205 5.371 0.053
2.205 1.823 9.286
Pm Ru
5 4
direct
0.112 0.171 0.606 Pm
0.888 0.829 0.394 Pm
0.758 0.659 0.826 Pm
0.242 0.341 0.174 Pm
0.000 0.000 0.000 Pm
0.453 0.249 0.844 Ru
0.547 0.751 0.156 Ru
0.405 0.576 0.614 Ru
0.595 0.424 0.386 Ru

No. 5
Rb3Pu2O6 | the Alexandria database | PBE | relaxed; density of states at the Fermi level = 11.14 states/eV/f.u.; E_form (uncorrected) = -25.270 eV/f.u.; total DFT energy (no corrections) = -7.87 eV per atom
1.0
4.311 0.000 0.000
0.000 4.311 0.000
-2.155 -2.155 11.874
Rb Pu O
3 2 6
direct
0.000 0.000 0.000 Rb
0.807 0.807 0.613 Rb
0.193 0.193 0.387 Rb
0.401 0.401 0.801 Pu
0.599 0.599 0.199 Pu
0.089 0.589 0.178 O
0.589 0.089 0.178 O
0.911 0.411 0.822 O
0.411 0.911 0.822 O
0.683 0.683 0.366 O
0.317 0.317 0.634 O

No. 6
LiFeOs2 | the Alexandria database | PBE | relaxed; density of states at the Fermi level = 2.24 states/eV/f.u.; total DFT energy (no corrections) = -8.04 eV per atom; energy of formation from the pure elements = 16.2 kJ/mol of atoms; excess energy over the best structure of this formula in the dataset = 0.0 kJ/mol of atoms
1.0
8.976 0.008 0.005
8.578 2.641 0.005
8.578 1.295 2.302
Fe Li Os
1 1 2
direct
0.250 0.250 0.250 Fe
0.750 0.750 0.750 Li
0.995 0.995 0.995 Os
0.505 0.505 0.505 Os

No. 7
AcTb4Ho7 | the Alexandria database | PBE | relaxed; density of states at the Fermi level = 20.95 states/eV/f.u.; total DFT energy (no corrections) = -4.25 eV per atom; energy of formation from the pure elements = 30.0 kJ/mol of atoms; excess energy over the best structure of this formula in the dataset = 28.5 kJ/mol of atoms
1.0
-2.847 -4.207 -3.237
-1.029 -8.970 6.961
-6.812 0.004 0.381
Ac Tb Ho
1 4 7
direct
0.000 0.000 0.000 Ac
0.625 0.225 0.524 Tb
0.375 0.775 0.476 Tb
0.740 0.686 0.835 Tb
0.260 0.314 0.165 Tb
0.784 0.920 0.513 Ho
0.216 0.080 0.487 Ho
0.051 0.653 0.246 Ho
0.949 0.347 0.754 Ho
0.364 0.509 0.763 Ho
0.500 0.000 0.000 Ho
0.636 0.491 0.237 Ho

No. 8
GdDy2N | the Alexandria database | PBE | relaxed; density of states at the Fermi level = 5.24 states/eV/f.u.; E_form (uncorrected) = -0.801 eV/f.u.; total DFT energy (no corrections) = -8.10 eV per atom; excess energy over the best structure of this formula in the dataset = 47.1 kJ/mol of atoms
1.0
-1.460 -2.783 0.395
2.021 -1.348 -2.032
5.468 -1.917 6.711
N Gd Dy
1 1 2
direct
0.500 0.500 0.000 N
0.500 0.500 0.500 Gd
0.000 0.000 0.841 Dy
0.000 0.000 0.159 Dy

The calculation returns the following M_tot values, one per record and in order: 15.8, 4.5, 0.0, 0.0, 7.0, 1.9, 0.0, 7.6 Bohr magnetons per cell.